Entry 1:
CoIrOsI2: optimized geometry, PBE-GGA.

Unit cell a=5.288 b=5.288 c=4.671 alpha=90.00 beta=90.00 gamma=90.00
Fractional coordinates of all 5 atoms:
Co (0.000, 0.000, 0.000)
Ir (0.000, 0.000, 0.500)
Os (0.500, 0.500, 0.000)
I (0.000, 0.500, 0.500)
I (0.500, 0.000, 0.500)

- raw formation energy (eV/atom) = 1.95
- final energy (eV per cell) = -20.5



Entry 2:
Pm8Co3IrI4: optimized geometry, PBE-GGA.

Unit cell a=8.154 b=8.154 c=9.333 alpha=115.84 beta=115.84 gamma=60.03
Fractional coordinates of all 16 atoms:
Pm (0.220, 0.732, 0.683)
Pm (0.227, 0.227, 0.681)
Pm (0.268, 0.780, 0.317)
Pm (0.269, 0.269, 0.318)
Pm (0.731, 0.731, 0.682)
Pm (0.732, 0.220, 0.683)
Pm (0.773, 0.773, 0.319)
Pm (0.780, 0.268, 0.317)
Co (0.000, 0.000, 0.500)
Co (0.000, 0.500, 0.500)
Co (0.500, 0.000, 0.500)
Ir (0.500, 0.500, 0.500)
I (0.000, 0.000, 0.000)
I (0.000, 0.500, 0.000)
I (0.500, 0.000, 0.000)
I (0.500, 0.500, 0.000)

- raw formation energy (eV/atom) = -0.68
- final energy (eV per cell) = -85.2